# 1
Below is an optimized crystal structure of Re2OsSe, with properties calculated at the PBE-GGA level. Values from VASP.

The structure in Quantum ESPRESSO input format:
```
&SYSTEM
  ibrav = 0, nat = 4, ntyp = 3
/
ATOMIC_SPECIES
Os 190.23 Os.upf
Re 186.21 Re.upf
Se 78.96 Se.upf
ATOMIC_POSITIONS angstrom
Os 0.000 2.266 2.292
Re 0.000 0.000 0.000
Re 1.470 2.266 0.000
Se 1.470 0.000 2.292
CELL_PARAMETERS angstrom
2.941 0.000 0.000
0.000 4.532 0.000
0.000 0.000 4.584
```

Properties
SG	Pmmm
magnetic moment	0.0	μB per formula unit
ρ	17438	kg/m³
energy relative to the elements, uncorrected	0.728	eV per atom

***

# 2
Below is an optimized crystal structure of MoRhBr2, with properties calculated at the PBE-GGA level. Values from VASP.

The structure in Quantum ESPRESSO input format:
```
&SYSTEM
  ibrav = 0, nat = 4, ntyp = 3
/
ATOMIC_SPECIES
Mo 95.94 Mo.upf
Rh 102.91 Rh.upf
Br 79.90 Br.upf
ATOMIC_POSITIONS angstrom
Mo 0.708 1.345 2.194
Rh 0.708 1.345 6.583
Br 0.000 0.000 0.059
Br 0.000 0.000 4.330
CELL_PARAMETERS angstrom
3.268 -0.002 0.000
-1.853 2.692 0.000
0.000 0.000 8.778
```

Properties
SG	Cmmm
magnetic moment	1.5	μB per formula unit
distance to the lowest polymorph of the same formula	771	meV per atom
ρ	7714	kg/m³
energy relative to the elements, uncorrected	0.765	eV per atom

***

# 3
Below is an optimized crystal structure of GaSbC3, with properties calculated at the PBE-GGA level. Values from VASP.

The structure in Quantum ESPRESSO input format:
```
&SYSTEM
  ibrav = 0, nat = 5, ntyp = 3
/
ATOMIC_SPECIES
Sb 121.76 Sb.upf
C 12.01 C.upf
Ga 69.72 Ga.upf
ATOMIC_POSITIONS angstrom
Sb 2.037 2.037 2.037
C 0.000 2.037 0.000
C 0.000 0.000 2.037
C 2.037 0.000 0.000
Ga 0.000 0.000 0.000
CELL_PARAMETERS angstrom
4.073 0.000 0.000
0.000 4.073 0.000
0.000 0.000 4.073
```

Properties
SG	Pm-3m
magnetic moment	0.0	μB per formula unit
distance to the lowest polymorph of the same formula	0	meV per atom
ρ	5590	kg/m³
energy relative to the elements, uncorrected	2.552	eV per atom

***

# 4
Below is an optimized crystal structure of EuTmAl2, with properties calculated at the PBE-GGA level. Values from VASP.

The structure in Quantum ESPRESSO input format:
```
&SYSTEM
  ibrav = 0, nat = 4, ntyp = 3
/
ATOMIC_SPECIES
Eu 151.96 Eu.upf
Tm 168.93 Tm.upf
Al 26.98 Al.upf
ATOMIC_POSITIONS angstrom
Eu 1.103 1.904 5.935
Tm 0.000 0.000 0.000
Al 1.710 2.930 8.954
Al 0.497 0.878 2.915
CELL_PARAMETERS angstrom
-2.440 0.000 2.569
0.332 -2.198 2.759
4.315 6.007 6.542
```

Properties
SG	R-3m
magnetic moment	7.2	μB per formula unit
ρ	5928	kg/m³
formation enthalpy at 0 K	-0.06	eV/atom